Arrangement one

# PBE-GGA SmUS4, optimized geometry
# crystal system	monoclinic
# N(E_F)	12.214	states/eV per cell
data_SmUS4
_symmetry_space_group_name_H-M 'C 1 2/m 1'
_symmetry_Int_Tables_number 12
_cell_length_a 6.4909
_cell_length_b 6.4909
_cell_length_c 6.5693
_cell_angle_alpha 90.00
_cell_angle_beta 90.21
_cell_angle_gamma 90.00
loop_
_symmetry_equiv_pos_as_xyz
'x,y,z'
'-x,-y,-z'
'-x,y,-z'
'x,-y,z'
'x+1/2,y+1/2,z'
'-x+1/2,-y+1/2,-z'
'-x+1/2,y+1/2,-z'
'x+1/2,-y+1/2,z'
loop_
_atom_site_label
_atom_site_type_symbol
_atom_site_fract_x
_atom_site_fract_y
_atom_site_fract_z
_atom_site_occupancy
Sm1 Sm 0.0000 0.0000 0.0000 1
U1 U 0.0000 0.5000 0.5000 1
S1 S 0.2503 0.2505 0.2635 1

Arrangement two

# PBE-GGA SmUS4, optimized geometry
# crystal system	orthorhombic
# N(E_F)	10.008	states/eV per cell
data_SmUS4
_symmetry_space_group_name_H-M 'C m m m'
_symmetry_Int_Tables_number 65
_symmetry_space_group_name_Hall '-C 2 2'
_cell_length_a 8.8572
_cell_length_b 9.0174
_cell_length_c 4.1448
_cell_angle_alpha 90.00
_cell_angle_beta 90.00
_cell_angle_gamma 90.00
loop_
_atom_site_label
_atom_site_type_symbol
_atom_site_fract_x
_atom_site_fract_y
_atom_site_fract_z
_atom_site_occupancy
Sm1 Sm 0.0000 0.0000 0.0000 1
U1 U 0.0000 0.5000 0.5000 1
S1 S 0.0000 0.3161 0.0000 1
S2 S 0.2076 0.0000 0.5000 1

Relative to the most stable one, in kJ/mol of atoms, the structures come out at arrangement one 0.0; arrangement two 3.7.

Arrangement one

# PBE-GGA Sm2US5, optimized geometry
# crystal system	orthorhombic
# N(E_F)	18.064	states/eV per cell
data_Sm2US5
_symmetry_space_group_name_H-M 'C m c m'
_symmetry_Int_Tables_number 63
_symmetry_space_group_name_Hall '-C 2c 2'
_cell_length_a 5.3792
_cell_length_b 13.4719
_cell_length_c 13.3248
_cell_angle_alpha 90.00
_cell_angle_beta 90.00
_cell_angle_gamma 90.00
loop_
_atom_site_label
_atom_site_type_symbol
_atom_site_fract_x
_atom_site_fract_y
_atom_site_fract_z
_atom_site_occupancy
Sm1 Sm 0.0000 0.1454 0.0606 1
U1 U 0.0000 0.1941 0.7500 1
S1 S 0.0000 0.0481 0.6206 1
S2 S 0.0000 0.2556 0.2500 1
S3 S 0.0000 0.3084 0.5790 1

Arrangement two

# PBE-GGA Sm2US5, optimized geometry
# crystal system	orthorhombic
# N(E_F)	24.641	states/eV per cell
data_Sm2US5
_symmetry_space_group_name_H-M 'P n m a'
_symmetry_Int_Tables_number 62
_cell_length_a 11.8825
_cell_length_b 8.0003
_cell_length_c 7.4610
_cell_angle_alpha 90.00
_cell_angle_beta 90.00
_cell_angle_gamma 90.00
loop_
_symmetry_equiv_pos_as_xyz
'x,y,z'
'-x,-y,-z'
'-x+1/2,-y,z+1/2'
'x+1/2,y,-z+1/2'
'x+1/2,-y+1/2,-z+1/2'
'-x+1/2,y+1/2,z+1/2'
'-x,y+1/2,-z'
'x,-y+1/2,z'
loop_
_atom_site_label
_atom_site_type_symbol
_atom_site_fract_x
_atom_site_fract_y
_atom_site_fract_z
_atom_site_occupancy
Sm1 Sm 0.1778 0.0009 0.0205 1
U1 U 0.0085 0.7500 0.5716 1
S1 S 0.9998 0.2500 0.0443 1
S2 S 0.0977 0.0424 0.6604 1
S3 S 0.1854 0.7500 0.3276 1
S4 S 0.2147 0.2500 0.3012 1

Relative to the most stable one, in kJ/mol of atoms, the structures come out at arrangement one 6.9; arrangement two 0.0.

Arrangement one

# PBE-GGA SmYS2, optimized geometry
# crystal system	trigonal
# N(E_F)	2.049	states/eV per cell
data_SmYS2
_symmetry_space_group_name_H-M 'R 3 m'
_symmetry_Int_Tables_number 160
_symmetry_space_group_name_Hall 'R 3 -2"'
_cell_length_a 3.8875
_cell_length_b 3.8875
_cell_length_c 20.5061
_cell_angle_alpha 90.00
_cell_angle_beta 90.00
_cell_angle_gamma 120.00
loop_
_atom_site_label
_atom_site_type_symbol
_atom_site_fract_x
_atom_site_fract_y
_atom_site_fract_z
_atom_site_occupancy
Sm1 Sm 0.0000 0.0000 0.0000 1
Y1 Y 0.0000 0.0000 0.1780 1
S1 S 0.0000 0.0000 0.5850 1
S2 S 0.0000 0.0000 0.7591 1

Arrangement two

# PBE-GGA SmYS2, optimized geometry
# crystal system	trigonal
# N(E_F)	3.150	states/eV per cell
data_SmYS2
_symmetry_space_group_name_H-M 'R -3 m'
_symmetry_Int_Tables_number 166
_symmetry_space_group_name_Hall '-R 3 2"'
_cell_length_a 3.9465
_cell_length_b 3.9465
_cell_length_c 19.5712
_cell_angle_alpha 90.00
_cell_angle_beta 90.00
_cell_angle_gamma 120.00
loop_
_atom_site_label
_atom_site_type_symbol
_atom_site_fract_x
_atom_site_fract_y
_atom_site_fract_z
_atom_site_occupancy
Sm1 Sm 0.0000 0.0000 0.0000 1
Y1 Y 0.0000 0.0000 0.5000 1
S1 S 0.0000 0.0000 0.2471 1

Relative to the most stable one, in kJ/mol of atoms, the structures come out at arrangement one 3.5; arrangement two 0.0.

Arrangement one

# PBE-GGA Sm3YS4, optimized geometry
# crystal system	monoclinic
# N(E_F)	6.134	states/eV per cell
data_Sm3YS4
_symmetry_space_group_name_H-M 'C 1 2/m 1'
_symmetry_Int_Tables_number 12
_cell_length_a 13.2080
_cell_length_b 3.9595
_cell_length_c 6.9662
_cell_angle_alpha 90.00
_cell_angle_beta 100.64
_cell_angle_gamma 90.00
loop_
_symmetry_equiv_pos_as_xyz
'x,y,z'
'-x,-y,-z'
'-x,y,-z'
'x,-y,z'
'x+1/2,y+1/2,z'
'-x+1/2,-y+1/2,-z'
'-x+1/2,y+1/2,-z'
'x+1/2,-y+1/2,z'
loop_
_atom_site_label
_atom_site_type_symbol
_atom_site_fract_x
_atom_site_fract_y
_atom_site_fract_z
_atom_site_occupancy
Sm1 Sm 0.0000 0.0000 0.0000 1
Sm2 Sm 0.2475 0.5000 0.2475 1
Y1 Y 0.0000 0.5000 0.5000 1
S1 S 0.1221 0.0000 0.3801 1
S2 S 0.1237 0.5000 0.8685 1

Arrangement two

# PBE-GGA Sm3YS4, optimized geometry
# crystal system	cubic
# N(E_F)	4.401	states/eV per cell
data_Sm3YS4
_symmetry_space_group_name_H-M 'P m -3 m'
_symmetry_Int_Tables_number 221
_symmetry_space_group_name_Hall '-P 4 2 3'
_cell_length_a 5.6409
_cell_length_b 5.6409
_cell_length_c 5.6409
_cell_angle_alpha 90.00
_cell_angle_beta 90.00
_cell_angle_gamma 90.00
loop_
_atom_site_label
_atom_site_type_symbol
_atom_site_fract_x
_atom_site_fract_y
_atom_site_fract_z
_atom_site_occupancy
Sm1 Sm 0.0000 0.0000 0.5000 1
Y1 Y 0.5000 0.5000 0.5000 1
S1 S 0.0000 0.0000 0.0000 1
S2 S 0.0000 0.5000 0.5000 1

Relative to the most stable one, in kJ/mol of atoms, the structures come out at arrangement one 0.0; arrangement two 1.7.

Arrangement one

# PBE-GGA SmYS, optimized geometry
# crystal system	trigonal
# N(E_F)	4.664	states/eV per cell
data_SmYS
_symmetry_space_group_name_H-M 'R 3 m'
_symmetry_Int_Tables_number 160
_symmetry_space_group_name_Hall 'R 3 -2"'
_cell_length_a 3.8605
_cell_length_b 3.8605
_cell_length_c 18.9148
_cell_angle_alpha 90.00
_cell_angle_beta 90.00
_cell_angle_gamma 120.00
loop_
_atom_site_label
_atom_site_type_symbol
_atom_site_fract_x
_atom_site_fract_y
_atom_site_fract_z
_atom_site_occupancy
Sm1 Sm 0.0000 0.0000 0.0000 1
Y1 Y 0.0000 0.0000 0.4960 1
S1 S 0.0000 0.0000 0.2447 1

Arrangement two

# PBE-GGA SmYS, optimized geometry
# crystal system	trigonal
# N(E_F)	1.385	states/eV per cell
data_SmYS
_symmetry_space_group_name_H-M 'P 3 m 1'
_symmetry_Int_Tables_number 156
_cell_length_a 3.8334
_cell_length_b 3.8334
_cell_length_c 6.4103
_cell_angle_alpha 90.00
_cell_angle_beta 90.00
_cell_angle_gamma 120.00
loop_
_symmetry_equiv_pos_as_xyz
'x,y,z'
'-y,x-y,z'
'-x+y,-x,z'
'-y,-x,z'
'-x+y,y,z'
'x,x-y,z'
loop_
_atom_site_label
_atom_site_type_symbol
_atom_site_fract_x
_atom_site_fract_y
_atom_site_fract_z
_atom_site_occupancy
Sm1 Sm 0.0000 0.0000 0.0000 1
Y1 Y 0.6667 0.3333 0.4768 1
S1 S 0.3333 0.6667 0.7300 1

Relative to the most stable one, in kJ/mol of atoms, the structures come out at arrangement one 0.0; arrangement two 0.7.